A plane-wave DFT calculation with PBE-GGA was carried out for an optimized crystal structure of Tl2InGa.

Lattice parameters (Å, degrees): 13.0423 13.0423 3.1961 92.18 92.18 152.11
Closest atoms and distances in Å follow each position.
Element x y z (fractional)
Tl1 0.1848 0.3045 0.4554  6 Tl 3.15-3.46, 1 In 3.16
Tl2 0.3045 0.1848 0.9554  6 Tl 3.15-3.46, 1 In 3.16
Tl3 0.6955 0.8152 0.0446  6 Tl 3.15-3.46, 1 In 3.16
Tl4 0.8152 0.6955 0.5446  6 Tl 3.15-3.46, 1 In 3.16
In1 0.3355 0.6645 0.7500  2 Ga 2.86, 2 Tl 3.16, 2 In 3.20
In2 0.6645 0.3355 0.2500  2 Ga 2.86, 2 Tl 3.16, 2 In 3.20
Ga1 0.0000 0.5000 0.0000  2 In 2.86, 2 Ga 3.20
Ga2 0.5000 0.0000 0.5000  2 In 2.86, 2 Ga 3.20

Results
volume = 31.39 Å³/atom
ΔE to the lowest computed polymorph = 0.110 eV per atom
magnetization = 0.000 μB/f.u.
formation energy from the elements = 0.18 eV/atom